1.
Below is a geometry-optimized Pr3DyGa3 structure, with properties calculated at the GGA-PBE level.

Lattice parameters (Å, degrees): 7.354 7.354 7.534 90.66 90.66 98.81
Positions (direct):
Pr (0.661, 0.661, 0.361)
Pr (0.186, 0.814, 0.500)
Pr (0.814, 0.186, 0.500)
Pr (0.252, 0.748, 0.000)
Pr (0.748, 0.252, 0.000)
Pr (0.339, 0.339, 0.639)
Dy (0.725, 0.725, 0.879)
Dy (0.275, 0.275, 0.121)
Ga (0.962, 0.962, 0.192)
Ga (0.991, 0.504, 0.739)
Ga (0.504, 0.991, 0.739)
Ga (0.009, 0.496, 0.261)
Ga (0.496, 0.009, 0.261)
Ga (0.038, 0.038, 0.808)

Properties
Electronic total energy (eV/atom): -4.344
Formation enthalpy at 0 K (meV per atom): -341



2.
Below is a geometry-optimized Eu2Ir2O7 structure, with properties calculated at the GGA-PBE level.

Lattice parameters (Å, degrees): 7.364 7.364 7.364 60.00 60.00 60.00
Site moments in Bohr magnetons follow the coordinates.
Positions (direct):
Eu (0.625, 0.625, 0.625)  6.42
Eu (0.125, 0.625, 0.625)  6.42
Eu (0.625, 0.125, 0.625)  6.42
Eu (0.625, 0.625, 0.125)  6.42
Ir (0.625, 0.125, 0.125)  0.05
Ir (0.125, 0.125, 0.125)  0.05
Ir (0.125, 0.125, 0.625)  0.05
Ir (0.125, 0.625, 0.125)  0.05
O (0.500, 0.500, 0.500)  -0.14
O (0.203, 0.797, 0.203)  -0.02
O (0.047, 0.453, 0.047)  -0.02
O (0.203, 0.203, 0.797)  -0.02
O (0.797, 0.797, 0.203)  -0.02
O (0.047, 0.453, 0.453)  -0.02
O (0.453, 0.047, 0.047)  -0.02
O (0.797, 0.203, 0.203)  -0.02
O (0.453, 0.453, 0.047)  -0.02
O (0.203, 0.797, 0.797)  -0.02
O (0.750, 0.750, 0.750)  -0.14
O (0.453, 0.047, 0.453)  -0.02
O (0.047, 0.047, 0.453)  -0.02
O (0.797, 0.203, 0.797)  -0.02

Properties
ΔE_f (raw) (eV/atom): -1.76
Electronic total energy (eV/atom): -8.398



3.
Below is a geometry-optimized RbThCoS3 structure, with properties calculated at the GGA-PBE level.

Lattice parameters (Å, degrees): 4.005 9.288 9.421 109.89 90.00 90.00
Site moments in Bohr magnetons follow the coordinates.
Positions (direct):
Rb (0.750, 0.801, 0.765)  0.00
Rb (0.250, 0.199, 0.235)  0.00
Th (0.250, 0.684, 0.174)  0.01
Th (0.750, 0.316, 0.826)  0.01
Co (0.250, 0.081, 0.583)  1.68
Co (0.750, 0.919, 0.417)  1.68
S (0.250, 0.823, 0.483)  0.10
S (0.750, 0.880, 0.154)  0.03
S (0.750, 0.460, 0.150)  0.00
S (0.750, 0.177, 0.517)  0.10
S (0.250, 0.540, 0.850)  0.00
S (0.250, 0.120, 0.846)  0.03

Properties
ΔE_f (raw) (eV/atom): -1.36
Electronic total energy (eV/atom): -6.002



4.
Below is a geometry-optimized CaAuF2 structure, with properties calculated at the GGA-PBE level.

Lattice parameters (Å, degrees): 5.907 5.907 6.797 64.24 64.24 90.00
Positions (direct):
Ca (0.500, 0.500, 0.000)
Ca (0.250, 0.750, 0.500)
Au (0.000, 0.000, 0.000)
Au (0.750, 0.250, 0.500)
F (0.511, 0.125, 0.250)
F (0.239, 0.625, 0.250)
F (0.375, 0.489, 0.750)
F (0.875, 0.761, 0.750)

Properties
Energy above the lowest structure with this stoichiometry (meV/atom): 322
ΔE_f (raw) (eV/atom): -2.14
Electronic total energy (eV/atom): -4.397



5.
Below is a geometry-optimized PPd2BrN structure, with properties calculated at the GGA-PBE level.

Lattice parameters (Å, degrees): 4.788 5.127 4.788 90.00 90.00 90.00
Site moments in Bohr magnetons follow the coordinates.
Positions (direct):
P (0.000, 0.500, 0.000)  -0.47
Br (0.000, 0.000, 0.000)  -0.02
Pd (0.000, 0.000, 0.500)  -0.01
Pd (0.500, 0.000, 0.000)  0.04
N (0.500, 0.500, 0.500)  1.67

Properties
ΔE_f (raw) (eV/atom): 1.94
Electronic total energy (eV/atom): -3.222



6.
Below is a geometry-optimized Pm2NpTaN4 structure, with properties calculated at the GGA-PBE level.

Lattice parameters (Å, degrees): 3.382 5.839 5.994 108.42 90.00 90.00
Site moments in Bohr magnetons follow the coordinates.
Positions (direct):
Pm (0.500, 0.000, 0.500)  0.00
Pm (0.000, 0.500, 0.500)  0.03
Np (0.500, 0.500, 0.000)  2.57
Ta (0.000, 0.000, 0.000)  0.05
N (0.500, 0.226, 0.206)  -0.03
N (0.500, 0.774, 0.794)  -0.03
N (0.000, 0.249, 0.789)  -0.07
N (0.000, 0.751, 0.211)  -0.07

Properties
ΔE_f (raw) (eV/atom): -1.29
Electronic total energy (eV/atom): -9.737



7.
Below is a geometry-optimized TiPdRhC2 structure, with properties calculated at the GGA-PBE level.

Lattice parameters (Å, degrees): 3.858 5.171 3.858 90.00 90.00 90.00
Positions (direct):
C (0.000, 0.000, 0.500)
C (0.500, 0.000, 0.000)
Rh (0.500, 0.500, 0.500)
Pd (0.000, 0.000, 0.000)
Ti (0.000, 0.500, 0.000)

Properties
Electronic total energy (eV/atom): -5.934
Formation enthalpy at 0 K (meV per atom): 1843



8.
Below is a geometry-optimized Tl3CrIn3Cl8 structure, with properties calculated at the GGA-PBE level.

Lattice parameters (Å, degrees): 8.982 8.981 9.007 119.90 90.00 120.00
Site moments in Bohr magnetons follow the coordinates.
Positions (direct):
Tl (0.000, 0.000, 0.000)  0.01
Tl (0.000, 0.500, 0.000)  0.01
Tl (0.500, 0.500, 0.000)  0.01
Cr (0.000, 0.000, 0.500)  3.58
In (0.500, 0.000, 0.500)  0.01
In (0.500, 0.500, 0.500)  0.01
In (0.000, 0.500, 0.500)  0.01
Cl (0.251, 0.502, 0.253)  0.00
Cl (0.749, 0.498, 0.747)  0.00
Cl (0.800, 0.600, 0.302)  -0.01
Cl (0.200, 0.400, 0.698)  -0.01
Cl (0.800, 0.002, 0.302)  -0.01
Cl (0.200, 0.998, 0.698)  -0.01
Cl (0.201, 0.002, 0.302)  -0.01
Cl (0.799, 0.998, 0.698)  -0.01

Properties
ΔE_f (raw) (eV/atom): -0.89
Electronic total energy (eV/atom): -3.541



9.
Below is a geometry-optimized CsBe3Cr structure, with properties calculated at the GGA-PBE level.

Lattice parameters (Å, degrees): 4.902 4.902 4.902 90.00 90.00 90.00
Site moments in Bohr magnetons follow the coordinates.
Positions (direct):
Cs (0.000, 0.000, 0.000)  0.01
Cr (0.500, 0.500, 0.500)  -0.60
Be (0.000, 0.500, 0.000)  0.03
Be (0.000, 0.000, 0.500)  0.01
Be (0.500, 0.000, 0.000)  0.02

Properties
Electronic total energy (eV/atom): -1.168
Formation enthalpy at 0 K (meV per atom): 3164



10.
Below is a geometry-optimized CuAs2HSe structure, with properties calculated at the GGA-PBE level.

Lattice parameters (Å, degrees): 4.713 4.713 4.882 90.00 90.00 90.00
Site moments in Bohr magnetons follow the coordinates.
Positions (direct):
H (0.500, 0.500, 0.500)  0.34
As (0.000, 0.500, 0.000)  -0.01
As (0.500, 0.000, 0.000)  -0.01
Cu (0.000, 0.000, 0.000)  0.00
Se (0.000, 0.000, 0.500)  0.06

Properties
Energy above the lowest structure with this stoichiometry (meV/atom): 383
Electronic total energy (eV/atom): -3.034



11.
Below is a geometry-optimized Nd11In9Co4 structure, with properties calculated at the GGA-PBE level.

Lattice parameters (Å, degrees): 3.777 13.305 13.305 112.23 90.00 90.00
Positions (direct):
Nd (0.000, 0.582, 0.918)
Nd (0.000, 0.418, 0.082)
Nd (0.000, 0.918, 0.582)
Nd (0.000, 0.082, 0.418)
Nd (0.000, 0.625, 0.375)
Nd (0.000, 0.375, 0.625)
Nd (0.000, 0.838, 0.162)
Nd (0.000, 0.162, 0.838)
Nd (0.000, 0.000, 0.000)
Nd (0.000, 0.686, 0.686)
Nd (0.000, 0.314, 0.314)
In (0.500, 0.632, 0.163)
In (0.500, 0.368, 0.837)
In (0.500, 0.163, 0.632)
In (0.500, 0.837, 0.368)
In (0.500, 0.779, 0.918)
In (0.500, 0.221, 0.082)
In (0.500, 0.918, 0.779)
In (0.500, 0.082, 0.221)
In (0.500, 0.500, 0.500)
Co (0.500, 0.552, 0.755)
Co (0.500, 0.448, 0.245)
Co (0.500, 0.755, 0.552)
Co (0.500, 0.245, 0.448)

Properties
Electronic total energy (eV/atom): -4.788
Formation enthalpy at 0 K (meV per atom): -391



12.
Below is a geometry-optimized SrLaSm2 structure, with properties calculated at the GGA-PBE level.

Lattice parameters (Å, degrees): 5.356 5.329 5.329 90.00 90.00 90.00
Positions (direct):
Sr (0.500, 0.500, 0.500)
Sm (0.000, 0.000, 0.500)
Sm (0.000, 0.500, 0.000)
La (0.500, 0.000, 0.000)

Properties
Energy above the lowest structure with this stoichiometry (meV/atom): 60
Electronic total energy (eV/atom): -3.848
Formation enthalpy at 0 K (meV per atom): 163



13.
Below is a geometry-optimized AlP2Se structure, with properties calculated at the GGA-PBE level.

Lattice parameters (Å, degrees): 3.746 3.746 5.211 90.00 90.00 90.00
Positions (direct):
P (0.000, 0.000, 0.955)
P (0.000, 0.000, 0.545)
Al (0.500, 0.500, 0.750)
Se (0.500, 0.500, 0.250)

Properties
Energy above the lowest structure with this stoichiometry (meV/atom): 484
ΔE_f (raw) (eV/atom): 0.32
Electronic total energy (eV/atom): -4.191



14.
Below is a geometry-optimized InRePb2 structure, with properties calculated at the GGA-PBE level.

Lattice parameters (Å, degrees): 5.092 5.092 5.092 60.00 60.00 60.00
Positions (direct):
Pb (0.250, 0.250, 0.250)
Pb (0.750, 0.750, 0.750)
Re (0.500, 0.500, 0.500)
In (0.000, 0.000, 0.000)

Properties
Energy above the lowest structure with this stoichiometry (meV/atom): 475
Electronic total energy (eV/atom): -4.661
Formation enthalpy at 0 K (meV per atom): 990



15.
Below is a geometry-optimized Mg2Cd2Pb structure, with properties calculated at the GGA-PBE level.

Lattice parameters (Å, degrees): 4.982 4.982 6.038 90.00 90.00 120.00
Positions (direct):
Mg (0.333, 0.667, 0.154)
Mg (0.667, 0.333, 0.846)
Cd (0.333, 0.667, 0.632)
Cd (0.667, 0.333, 0.368)
Pb (0.000, 0.000, 0.000)

Properties
Energy above the lowest structure with this stoichiometry (meV/atom): 55
Electronic total energy (eV/atom): -1.728
Formation enthalpy at 0 K (meV per atom): 17



16.
Below is a geometry-optimized RbCa3Mo structure, with properties calculated at the GGA-PBE level.

Lattice parameters (Å, degrees): 5.851 5.851 5.851 90.00 90.00 90.00
Site moments in Bohr magnetons follow the coordinates.
Positions (direct):
Mo (0.000, 0.000, 0.000)  1.51
Ca (0.000, 0.500, 0.000)  0.01
Ca (0.000, 0.000, 0.500)  -0.01
Ca (0.500, 0.000, 0.000)  0.02
Rb (0.500, 0.500, 0.500)  -0.02

Properties
Energy above the lowest structure with this stoichiometry (meV/atom): 0
Electronic total energy (eV/atom): -2.861
Formation enthalpy at 0 K (meV per atom): 700



17.
Below is a geometry-optimized Y3HPb structure, with properties calculated at the GGA-PBE level.

Lattice parameters (Å, degrees): 30.291 6.042 11.496 90.00 166.81 90.00
Positions (direct):
Pb (0.125, 0.081, 0.682)
Pb (0.875, 0.919, 0.318)
Pb (0.375, 0.581, 0.818)
Pb (0.625, 0.419, 0.182)
Y (0.362, 0.899, 0.039)
Y (0.638, 0.101, 0.961)
Y (0.138, 0.399, 0.461)
Y (0.862, 0.601, 0.539)
Y (0.367, 0.549, 0.293)
Y (0.633, 0.451, 0.707)
Y (0.133, 0.049, 0.207)
Y (0.867, 0.951, 0.793)
Y (0.372, 0.888, 0.550)
Y (0.628, 0.112, 0.450)
Y (0.128, 0.388, 0.950)
Y (0.872, 0.612, 0.050)
H (0.573, 0.735, 0.713)
H (0.427, 0.265, 0.287)
H (0.927, 0.235, 0.787)
H (0.073, 0.765, 0.213)

Properties
Energy above the lowest structure with this stoichiometry (meV/atom): 120
Electronic total energy (eV/atom): -5.631



18.
Below is a geometry-optimized Ba2AsOs structure, with properties calculated at the GGA-PBE level.

Lattice parameters (Å, degrees): 11.961 11.961 8.778 47.05 47.05 90.00
Positions (direct):
As (0.500, 0.500, 0.000)
As (0.250, 0.750, 0.500)
Os (0.000, 0.000, 0.000)
Os (0.750, 0.250, 0.500)
Ba (0.812, 0.125, 0.250)
Ba (0.938, 0.625, 0.250)
Ba (0.375, 0.188, 0.750)
Ba (0.875, 0.062, 0.750)

Properties
Electronic total energy (eV/atom): -4.990
Formation enthalpy at 0 K (meV per atom): -59



19.
Below is a geometry-optimized Li2PW structure, with properties calculated at the GGA-PBE level.

Lattice parameters (Å, degrees): 4.484 4.484 4.483 131.25 131.24 71.45
Positions (direct):
Li (0.000, 0.000, 0.000)
Li (0.750, 0.250, 0.500)
P (0.500, 0.500, 0.000)
W (0.250, 0.750, 0.500)

Properties
Electronic total energy (eV/atom): -5.451
Formation enthalpy at 0 K (meV per atom): 96



20.
Below is a geometry-optimized Ta3GaBi structure, with properties calculated at the GGA-PBE level.

Lattice parameters (Å, degrees): 5.147 5.147 5.147 90.00 90.00 90.00
Positions (direct):
Bi (0.000, 0.000, 0.000)
Ga (0.500, 0.500, 0.500)
Ta (0.000, 0.500, 0.000)
Ta (0.000, 0.000, 0.500)
Ta (0.500, 0.000, 0.000)

Properties
Energy above the lowest structure with this stoichiometry (meV/atom): 1136
Electronic total energy (eV/atom): -6.166
Formation enthalpy at 0 K (meV per atom): 2328